Entry 1:
Entry from Alexandria via LeMat-Bulk: YTlP2 at its PBEsol-relaxed geometry (meta-GGA SCAN).

Results
calculated volume = 22.10 Å³ per atom
space group = P2/m, No. 10
DFT total energy = -30.924 eV/atom
energy relative to the elements = -674 meV per atom
energy relative to the lowest polymorph listed for this composition = 0.000 eV/atom

Lattice parameters (Å, degrees): 3.759 3.760 6.255 90.00 90.47 90.00
Atoms (fractional coordinates):
1 Y 0.000 0.000 0.000
2 Tl 0.000 0.000 0.500
3 P 0.499 0.500 0.821
4 P 0.501 0.500 0.179



Entry 2:
Entry from Alexandria via LeMat-Bulk: BaFeCu2 at its PBEsol-relaxed geometry (meta-GGA SCAN).

Results
calculated volume = 17.96 Å³ per atom
space group = P4mm, No. 99
DFT total energy = -21.501 eV/atom
energy relative to the elements = 519 meV per atom

Lattice parameters (Å, degrees): 3.166 3.166 7.167 90.00 90.00 90.00
Atoms (fractional coordinates):
1 Ba 0.000 0.000 0.000
2 Fe 0.500 0.500 0.662
3 Cu 0.000 0.000 0.497
4 Cu 0.500 0.500 0.330



Entry 3:
Entry from Alexandria via LeMat-Bulk: CdRe2Ag at its PBEsol-relaxed geometry (meta-GGA SCAN).

Results
calculated volume = 15.77 Å³ per atom
space group = I-4m2, No. 119
DFT total energy = -50.245 eV/atom
energy relative to the elements = 749 meV per atom

Lattice parameters (Å, degrees): 4.725 4.725 4.725 128.35 128.35 76.05
Atoms (fractional coordinates):
1 Cd 0.000 0.000 0.000
2 Re 0.500 0.500 0.000
3 Re 0.750 0.250 0.500
4 Ag 0.250 0.750 0.500



Entry 4:
Entry from Alexandria via LeMat-Bulk: Ca2LaZn at its PBEsol-relaxed geometry (meta-GGA SCAN).

Results
calculated volume = 31.65 Å³ per atom
space group = P4mm, No. 99
DFT total energy = -19.140 eV/atom
energy relative to the elements = -153 meV per atom

Lattice parameters (Å, degrees): 3.650 3.650 9.504 90.00 90.00 90.00
Atoms (fractional coordinates):
1 Ca 0.000 0.000 0.000
2 Ca 0.500 0.500 0.315
3 La 0.000 0.000 0.624
4 Zn 0.500 0.500 0.814



Entry 5:
Entry from Alexandria via LeMat-Bulk: YCrSeBr2 at its PBEsol-relaxed geometry (meta-GGA SCAN).

Results
calculated volume = 23.97 Å³ per atom
space group = P4/mmm, No. 123
DFT total energy = -21.802 eV/atom
energy relative to the elements, uncorrected = -73 kJ per mole of atoms

Lattice parameters (Å, degrees): 4.868 4.868 5.057 90.00 90.00 90.00
Atoms (fractional coordinates):
1 Y 0.000 0.000 0.000
2 Cr 0.500 0.500 0.500
3 Se 0.500 0.500 0.000
4 Br 0.000 0.500 0.500
5 Br 0.500 0.000 0.500



Entry 6:
Entry from Alexandria via LeMat-Bulk: MgPt2Pb at its PBEsol-relaxed geometry (meta-GGA SCAN).

Results
calculated volume = 19.04 Å³ per atom
space group = R3m, No. 160
DFT total energy = -55.308 eV/atom
energy relative to the elements = -23 meV per atom

Lattice parameters (Å, degrees): 8.869 8.869 8.869 20.68 20.68 20.68
Atoms (fractional coordinates):
1 Mg 0.000 0.000 0.000
2 Pt 0.484 0.484 0.484
3 Pt 0.738 0.738 0.738
4 Pb 0.231 0.231 0.231



Entry 7:
Entry from Alexandria via LeMat-Bulk: RhSe2Br at its PBEsol-relaxed geometry (meta-GGA SCAN).

Results
calculated volume = 23.20 Å³ per atom
space group = C2/m, No. 12
DFT total energy = -23.724 eV/atom
energy relative to the elements, uncorrected = -36 kJ per mole of atoms
energy relative to the lowest polymorph listed for this composition = 0.000 eV/atom

Lattice parameters (Å, degrees): 3.792 3.792 7.734 103.06 103.06 59.78
Atoms (fractional coordinates):
1 Rh 0.000 0.000 0.000
2 Se 0.381 0.381 0.155
3 Se 0.619 0.619 0.845
4 Br 0.500 0.500 0.500



Entry 8:
Entry from Alexandria via LeMat-Bulk: Ba2SrAl at its PBEsol-relaxed geometry (meta-GGA SCAN).

Results
calculated volume = 44.27 Å³ per atom
space group = P4/mmm, No. 123
DFT total energy = -27.322 eV/atom
energy relative to the elements = -40 meV per atom

Lattice parameters (Å, degrees): 4.169 4.169 10.189 90.00 90.00 90.00
Atoms (fractional coordinates):
1 Ba 0.000 0.000 0.184
2 Ba 0.000 0.000 0.816
3 Sr 0.500 0.500 0.500
4 Al 0.500 0.500 0.000



Entry 9:
Entry from Alexandria via LeMat-Bulk: RhBr2 at its PBEsol-relaxed geometry (meta-GGA SCAN).

Results
calculated volume = 20.17 Å³ per atom
space group = I4/mcm, No. 140
DFT total energy = -23.953 eV/atom
energy relative to the elements, uncorrected = 27 kJ per mole of atoms

Lattice parameters (Å, degrees): 5.399 5.399 5.399 108.44 108.44 111.56
Atoms (fractional coordinates):
1 Rh 0.250 0.250 0.000
2 Rh 0.750 0.750 0.000
3 Br 0.213 0.713 0.926
4 Br 0.287 0.213 0.500
5 Br 0.713 0.787 0.500
6 Br 0.787 0.287 0.074



Entry 10:
Entry from Alexandria via LeMat-Bulk: TiPtW3 at its PBEsol-relaxed geometry (meta-GGA SCAN).

Results
calculated volume = 20.95 Å³ per atom
space group = Pm-3m, No. 221
DFT total energy = -57.082 eV/atom
energy relative to the elements = 1976 meV per atom

Lattice parameters (Å, degrees): 4.714 4.714 4.714 90.00 90.00 90.00
Atoms (fractional coordinates):
1 Ti 0.000 0.000 0.000
2 Pt 0.500 0.500 0.500
3 W 0.000 0.500 0.500
4 W 0.500 0.000 0.500
5 W 0.500 0.500 0.000



Entry 11:
Entry from Alexandria via LeMat-Bulk: CrP2PbO at its PBEsol-relaxed geometry (meta-GGA SCAN).

Results
calculated volume = 21.65 Å³ per atom
space group = P4/mmm, No. 123
DFT total energy = -23.342 eV/atom
energy relative to the elements, uncorrected = 86 kJ per mole of atoms

Lattice parameters (Å, degrees): 5.143 5.143 4.094 90.00 90.00 90.00
Atoms (fractional coordinates):
1 Cr 0.000 0.000 0.000
2 P 0.000 0.500 0.500
3 P 0.500 0.000 0.500
4 Pb 0.500 0.500 0.500
5 O 0.500 0.500 0.000



Entry 12:
Entry from Alexandria via LeMat-Bulk: AgP2AuO at its PBEsol-relaxed geometry (meta-GGA SCAN).

Results
calculated volume = 18.11 Å³ per atom
space group = P4/mmm, No. 123
DFT total energy = -24.623 eV/atom
energy relative to the elements, uncorrected = 86 kJ per mole of atoms

Lattice parameters (Å, degrees): 4.870 4.870 3.818 90.00 90.00 90.00
Atoms (fractional coordinates):
1 Ag 0.000 0.000 0.000
2 P 0.000 0.500 0.500
3 P 0.500 0.000 0.500
4 Au 0.500 0.500 0.500
5 O 0.500 0.500 0.000